No. 1
A plane-wave DFT calculation with GGA-PBE was carried out for crystalline Cd2InRu at its relaxed geometry.

Properties
Space group: R3m, No. 160
Formation enthalpy at 0 K in meV per atom: 255
Excess energy over the best structure of this formula in the dataset in meV/atom: 169
Calculated density in g/cm³: 9.06

```
Cd2InRu
1.0
1.552 0.896 9.682
-1.552 0.896 9.682
0.000 -1.792 9.682
Cd In Ru
2 1 1
Cartesian
0.000 0.000 0.000
0.000 0.000 7.020
0.000 0.000 13.967
0.000 0.000 21.564
```

***

No. 2
A plane-wave DFT calculation with GGA-PBE was carried out for crystalline CrFeNi2H5 at its relaxed geometry.

Properties
Space group: Immm, No. 71
VASP energy in eV/cell: -44.394
Calculated density in g/cm³: 6.14

```
CrFeNi2H5
1.0
-1.594 2.066 4.727
1.594 -2.066 4.727
1.594 2.066 -4.727
Cr Fe Ni H
1 1 2 5
Cartesian
0.000 0.000 0.000
0.000 0.000 4.727
1.594 0.000 2.039
0.000 2.066 2.688
1.594 0.000 0.000
1.594 -1.075 3.287
0.000 0.991 1.439
1.594 1.075 3.287
0.000 3.140 1.439
```

***

No. 3
A plane-wave DFT calculation with GGA-PBE was carried out for crystalline Hf2Zr2Al4Cu at its relaxed geometry.

Properties
Space group: I4/mmm, No. 139
Formation enthalpy at 0 K in meV per atom: -134
Calculated density in g/cm³: 6.88

```
Hf2Zr2Al4Cu
1.0
-3.043 3.043 4.633
3.043 -3.043 4.633
3.043 3.043 -4.633
Hf Zr Al Cu
2 2 4 1
Cartesian
3.043 0.000 2.316
0.000 3.043 2.316
0.000 0.000 2.132
0.000 0.000 7.133
1.387 1.387 0.000
1.656 -1.656 4.633
-1.656 1.656 4.633
1.656 1.656 4.633
0.000 0.000 4.633
```

***

No. 4
A plane-wave DFT calculation with GGA-PBE was carried out for crystalline ZrCdIn2 at its relaxed geometry.

Properties
Space group: Pm, No. 6
Formation enthalpy at 0 K in meV per atom: -78
Calculated density in g/cm³: 7.78

```
ZrCdIn2
1.0
3.148 0.000 0.000
0.000 4.958 0.000
-0.004 0.000 5.929
Zr Cd In
1 1 2
Cartesian
0.000 0.000 0.000
1.564 2.479 4.455
1.574 2.479 1.314
1.580 0.000 2.988
```

***

No. 5
A plane-wave DFT calculation with GGA-PBE was carried out for crystalline BeBI2 at its relaxed geometry.

Properties
Space group: Fm-3m, No. 225
E_form (uncorrected) in eV/atom: 1.495
Excess energy over the best structure of this formula in the dataset in meV/atom: 439
Calculated density in g/cm³: 5.25

```
BeBI2
1.0
0.000 3.510 3.510
3.510 0.000 3.510
3.510 3.510 0.000
Be B I
1 1 2
Cartesian
0.000 0.000 0.000
3.510 3.510 3.510
1.755 1.755 1.755
5.265 5.265 5.265
```

***

No. 6
A plane-wave DFT calculation with GGA-PBE was carried out for crystalline Dy4ErTm6 at its relaxed geometry.

Properties
Space group: I-42m, No. 121
Formation enthalpy at 0 K in meV per atom: 472
Excess energy over the best structure of this formula in the dataset in meV/atom: 342
Calculated density in g/cm³: 8.30

```
Dy4ErTm6
1.0
-3.762 3.762 6.470
3.762 -3.762 6.470
3.762 3.762 -6.470
Dy Er Tm
4 1 6
Cartesian
2.486 2.486 -0.993
1.276 -1.276 7.463
1.276 1.276 5.476
-1.276 1.276 7.463
0.000 0.000 0.000
3.762 0.000 0.000
1.942 -1.942 4.102
1.820 1.820 2.368
0.000 3.762 0.000
-1.942 1.942 4.102
1.942 1.942 8.837
```

***

Which of these has the lowest calculated density?
BeBI2

***

What is the formula in the fifth record?
BeBI2

***

Number 1 is which compound?
Cd2InRu